# 1
YScAsO: relaxed, PBE-GGA.

Cell lengths 4.1963, 4.1963, 8.7460 Å; angles 90.00, 90.00, 90.00 degrees
Closest atoms and distances in Å follow each position.
Positions (direct):
Y (0.0000, 0.5000, 0.8885)  4 O 2.31
Y (0.5000, 0.0000, 0.1115)  4 O 2.31
Sc (0.0000, 0.0000, 0.5000)  4 As 2.68, 4 Sc 2.97
Sc (0.5000, 0.5000, 0.5000)  4 As 2.68, 4 Sc 2.97
As (0.5000, 0.0000, 0.6901)  4 Sc 2.68
As (0.0000, 0.5000, 0.3099)  4 Sc 2.68
O (0.5000, 0.5000, 0.0000)  4 Y 2.31
O (0.0000, 0.0000, 0.0000)  4 Y 2.31

Results
Its uncorrected formation energy is -2.03 eV per atom. For the electronic total energy, the calculation gives -61.034 eV per cell. Its crystal system is tetragonal.


# 2
YScAs2O: relaxed, PBE-GGA.

Cell lengths 5.4665, 4.1231, 5.4665 Å; angles 90.00, 90.00, 90.00 degrees
Closest atoms and distances in Å follow each position.
Positions (direct):
Y (0.0000, 0.0000, 0.0000)  2 O 2.06
Sc (0.5000, 0.5000, 0.5000)  8 As 3.42
As (0.0000, 0.0000, 0.5000)  2 Y 2.73
As (0.5000, 0.0000, 0.0000)  2 Y 2.73
O (0.0000, 0.5000, 0.0000)  2 Y 2.06

Results
Its uncorrected formation energy is -0.62 eV per atom. For the electronic total energy, the calculation gives -30.161 eV per cell. Its crystal system is tetragonal.


# 3
ScZnAs2O8: relaxed, PBE-GGA.

Cell lengths 5.7286, 5.7286, 5.7286 Å; angles 107.44, 107.44, 113.62 degrees
Closest atoms and distances in Å follow each position.
Positions (direct):
Sc (0.2500, 0.7500, 0.5000)  8 O 2.13-2.35
Zn (0.0000, 0.0000, 0.0000)  4 O 2.15
As (0.7500, 0.2500, 0.5000)  4 O 1.73
As (0.5000, 0.5000, 0.0000)  4 O 1.71
O (0.3759, 0.0644, 0.3116)  1 As 1.73
O (0.3236, 0.5162, 0.1926)  1 As 1.71
O (0.3236, 0.1310, 0.8074)  1 As 1.71
O (0.7528, 0.0644, 0.6884)  1 As 1.73
O (0.8690, 0.6764, 0.1926)  1 As 1.71
O (0.9356, 0.2472, 0.3116)  1 As 1.73
O (0.9356, 0.6241, 0.6884)  1 As 1.73
O (0.4838, 0.6764, 0.8074)  1 As 1.71

Results
Its uncorrected formation energy is -1.53 eV per atom. For the electronic total energy, the calculation gives -74.977 eV per cell. Its crystal system is tetragonal.